! RhAuSe3 (meta-GGA SCAN, single point on PBEsol structure); values from VASP
&SYSTEM
  ibrav = 0, nat = 5, ntyp = 3
/
ATOMIC_SPECIES
Rh 102.91 Rh.upf
Au 196.97 Au.upf
Se 78.96 Se.upf
CELL_PARAMETERS angstrom
4.930 0.000 0.000
0.000 4.930 0.000
0.000 0.000 4.930
ATOMIC_POSITIONS angstrom
Rh 0.000 0.000 0.000
Au 2.465 2.465 2.465
Se 0.000 2.465 2.465
Se 2.465 0.000 2.465
Se 2.465 2.465 0.000
! - total moment (μB per atom) = 0.640
! - space group = Pm-3m (221)
! - raw total energy (eV/f.u.) = -157.77
! - uncorrected formation energy (eV per atom) = 1.079